Sr4TbV3O12: relaxed, PBE with a Hubbard U.

Output
Space group: No. 229
Calculated total energy, eV per formula unit: -144.5
ρ, g cm⁻³: 5.5

Lattice parameters (Å, degrees): 6.9663 6.9663 6.9663 109.47 109.47 109.47
Last column: nearest neighbours and their distance in Å.
Element x y z (fractional)
Sr  0.5000  0.5000  0.5000  12 O 2.84-2.85
Sr  0.0000  0.0000  0.5000  12 O 2.84-2.85
Sr  0.5000  0.0000  0.0000  12 O 2.84-2.85
Sr  0.0000  0.5000  0.0000  12 O 2.84-2.85
Tb  0.0000  0.0000  0.0000  6 O 2.17
V  0.5000  0.0000  0.5000  6 O 1.85-2.01
V  0.5000  0.5000  0.0000  6 O 1.85-2.01
V  0.0000  0.5000  0.5000  6 O 1.85-2.01
O  0.2500  0.5000  0.7500  2 V 2.01
O  0.7298  0.0000  0.7298  1 V 1.85
O  0.2702  0.0000  0.2702  1 V 1.85
O  0.7500  0.5000  0.2500  2 V 2.01
O  0.7298  0.7298  0.0000  1 V 1.85
O  0.2702  0.2702  0.0000  1 V 1.85
O  0.7500  0.2500  0.5000  2 V 2.01
O  0.2500  0.7500  0.5000  2 V 2.01
O  0.5000  0.2500  0.7500  2 V 2.01
O  0.0000  0.7298  0.7298  1 V 1.85
O  0.5000  0.7500  0.2500  2 V 2.01
O  0.0000  0.2702  0.2702  1 V 1.85